1.
{
  "formula": "K3HoTc2O8",
  "functional": "GGA-PBE",
  "state": "optimized geometry",
  "cell": [[6.0485, 0.0000, 0.0000], [-3.0243, 5.2382, 0.0000], [0.0000, 0.0000, 7.7624]],
  "species": ["K", "K", "K", "Ho", "Tc", "Tc", "O", "O", "O", "O", "O", "O", "O", "O"],
  "fractional_positions": [[0.0000, 0.0000, 0.0000], [0.3333, 0.6667, 0.6617], [0.6667, 0.3333, 0.3383], [0.0000, 0.0000, 0.5000], [0.3333, 0.6667, 0.2228], [0.6667, 0.3333, 0.7772], [0.1716, 0.3433, 0.3265], [0.1716, 0.8284, 0.3265], [0.3333, 0.6667, 0.9948], [0.3433, 0.1716, 0.6735], [0.6567, 0.8284, 0.3265], [0.6667, 0.3333, 0.0052], [0.8284, 0.1716, 0.6735], [0.8284, 0.6567, 0.6735]],
  "total_magnetization_mub_per_fu": 4.018,
  "energy_ev_per_atom": -6.77,
  "dos_at_fermi_per_ev_fu": 1.06,
  "space_group": "P-3m1 (164)",
  "mass_density_g_cm3": 4.1
}

***

2.
{
  "formula": "KHoTeO4",
  "functional": "GGA-PBE",
  "state": "optimized geometry",
  "cell": [[5.8716, 0.0000, 0.0000], [0.0000, 6.0170, 0.0000], [-2.4392, 0.0000, 7.4498]],
  "species": ["K", "K", "Ho", "Ho", "Te", "Te", "O", "O", "O", "O", "O", "O", "O", "O"],
  "fractional_positions": [[0.0776, 0.2500, 0.1495], [0.9224, 0.7500, 0.8505], [0.1655, 0.7500, 0.4609], [0.8345, 0.2500, 0.5391], [0.4185, 0.2500, 0.7457], [0.5815, 0.7500, 0.2543], [0.1671, 0.0102, 0.6681], [0.1671, 0.4898, 0.6681], [0.2146, 0.7500, 0.1907], [0.4321, 0.2500, 0.5025], [0.5679, 0.7500, 0.4975], [0.7854, 0.2500, 0.8093], [0.8329, 0.5102, 0.3319], [0.8329, 0.9898, 0.3319]],
  "total_magnetization_mub_per_fu": 0.000,
  "energy_ev_per_atom": -6.16,
  "dos_at_fermi_per_ev_fu": 0.00,
  "space_group": "P2_1/m (11)",
  "mass_density_g_cm3": 5.0
}

***

3.
{
  "formula": "KHoTe2O8",
  "functional": "GGA-PBE",
  "state": "optimized geometry",
  "cell": [[5.9718, 0.0000, 0.0000], [-2.9859, 5.1717, 0.0000], [0.0000, 0.0000, 7.6786]],
  "species": ["K", "Ho", "Te", "Te", "O", "O", "O", "O", "O", "O", "O", "O"],
  "fractional_positions": [[0.0000, 0.0000, 0.0000], [0.0000, 0.0000, 0.5000], [0.3333, 0.6667, 0.7670], [0.6667, 0.3333, 0.2330], [0.1441, 0.3338, 0.6829], [0.1897, 0.8559, 0.6829], [0.3333, 0.6667, 0.0038], [0.3338, 0.1897, 0.3171], [0.6662, 0.8103, 0.6829], [0.6667, 0.3333, 0.9962], [0.8103, 0.1441, 0.3171], [0.8559, 0.6662, 0.3171]],
  "total_magnetization_mub_per_fu": 0.000,
  "energy_ev_per_atom": -5.88,
  "dos_at_fermi_per_ev_fu": 0.00,
  "space_group": "P-3 (147)",
  "mass_density_g_cm3": 4.1
}

***

4.
{
  "formula": "K3HoTe2O9",
  "functional": "GGA-PBE",
  "state": "optimized geometry",
  "cell": [[5.8199, 0.0000, 0.0000], [-2.9100, 5.0402, 0.0000], [0.0000, 0.0000, 7.1681]],
  "species": ["K", "K", "K", "Ho", "Te", "Te", "O", "O", "O", "O", "O", "O", "O", "O", "O"],
  "fractional_positions": [[0.0000, 0.0000, 0.0000], [0.3333, 0.6667, 0.6677], [0.6667, 0.3333, 0.3323], [0.0000, 0.0000, 0.5000], [0.3333, 0.6667, 0.1679], [0.6667, 0.3333, 0.8321], [0.0000, 0.5000, 0.0000], [0.1761, 0.3521, 0.3139], [0.1761, 0.8239, 0.3139], [0.3521, 0.1761, 0.6861], [0.5000, 0.0000, 0.0000], [0.5000, 0.5000, 0.0000], [0.6479, 0.8239, 0.3139], [0.8239, 0.1761, 0.6861], [0.8239, 0.6479, 0.6861]],
  "total_magnetization_mub_per_fu": 0.000,
  "energy_ev_per_atom": -5.62,
  "dos_at_fermi_per_ev_fu": 4.47,
  "space_group": "P-3m1 (164)",
  "mass_density_g_cm3": 5.4
}

***

5.
{
  "formula": "K2HoTe2O6",
  "functional": "GGA-PBE",
  "state": "optimized geometry",
  "cell": [[4.9444, -3.4967, 0.0000], [4.9444, 3.4967, 0.0000], [-2.3985, 0.0000, 6.1866]],
  "species": ["K", "K", "Ho", "Te", "Te", "O", "O", "O", "O", "O", "O"],
  "fractional_positions": [[0.1804, 0.1804, 0.0878], [0.8196, 0.8196, 0.9122], [0.0000, 0.0000, 0.5000], [0.4426, 0.4426, 0.7453], [0.5574, 0.5574, 0.2547], [0.1786, 0.7470, 0.7236], [0.2451, 0.2451, 0.7159], [0.2530, 0.8214, 0.2764], [0.7470, 0.1786, 0.7236], [0.7549, 0.7549, 0.2841], [0.8214, 0.2530, 0.2764]],
  "total_magnetization_mub_per_fu": 0.000,
  "energy_ev_per_atom": -5.54,
  "dos_at_fermi_per_ev_fu": 2.11,
  "space_group": "C2/m (12)",
  "mass_density_g_cm3": 4.6
}

***

6.
{
  "formula": "KHo3Te4O12",
  "functional": "GGA-PBE",
  "state": "optimized geometry",
  "cell": [[5.7871, 3.3412, 3.0474], [-5.7871, 3.3412, 3.0474], [0.0000, -6.6824, 3.0474]],
  "species": ["K", "Ho", "Ho", "Ho", "Te", "Te", "Te", "Te", "O", "O", "O", "O", "O", "O", "O", "O", "O", "O", "O", "O"],
  "fractional_positions": [[0.0000, 0.0000, 0.0000], [0.0000, 0.5741, 0.4259], [0.4259, 0.0000, 0.5741], [0.5741, 0.4259, 0.0000], [0.0924, 0.5000, 0.9076], [0.5000, 0.5000, 0.5000], [0.5000, 0.9076, 0.0924], [0.9076, 0.0924, 0.5000], [0.0587, 0.2869, 0.3951], [0.0749, 0.9251, 0.5000], [0.2869, 0.3951, 0.0587], [0.3232, 0.6768, 0.5000], [0.3951, 0.0587, 0.2869], [0.5000, 0.0749, 0.9251], [0.5000, 0.3232, 0.6768], [0.6049, 0.7131, 0.9413], [0.6768, 0.5000, 0.3232], [0.7131, 0.9413, 0.6049], [0.9251, 0.5000, 0.0749], [0.9413, 0.6049, 0.7131]],
  "total_magnetization_mub_per_fu": 0.000,
  "energy_ev_per_atom": -6.14,
  "dos_at_fermi_per_ev_fu": 3.14,
  "space_group": "R32 (155)",
  "mass_density_g_cm3": 5.8
}

***

7.
{
  "formula": "K2Ho2TeO6",
  "functional": "GGA-PBE",
  "state": "optimized geometry",
  "cell": [[2.9714, -5.1328, 0.0000], [2.9714, 5.1328, 0.0000], [-1.8949, 0.0000, 6.3728]],
  "species": ["K", "K", "Ho", "Ho", "Te", "O", "O", "O", "O", "O", "O"],
  "fractional_positions": [[0.1648, 0.8352, 0.0000], [0.8352, 0.1648, 0.0000], [0.3348, 0.6652, 0.5000], [0.6652, 0.3348, 0.5000], [0.0000, 0.0000, 0.5000], [0.0505, 0.3838, 0.6755], [0.2640, 0.2640, 0.3243], [0.3838, 0.0505, 0.6755], [0.6162, 0.9495, 0.3245], [0.7360, 0.7360, 0.6757], [0.9495, 0.6162, 0.3245]],
  "total_magnetization_mub_per_fu": 0.000,
  "energy_ev_per_atom": -6.32,
  "dos_at_fermi_per_ev_fu": 0.00,
  "space_group": "C2/m (12)",
  "mass_density_g_cm3": 5.4
}

***

8.
{
  "formula": "K2HoTiO4",
  "functional": "GGA-PBE",
  "state": "optimized geometry",
  "cell": [[7.3587, 0.0000, 0.0000], [0.0000, 7.3856, 0.0000], [0.0000, 0.0000, 5.9728]],
  "species": ["K", "K", "K", "K", "Ho", "Ho", "Ti", "Ti", "O", "O", "O", "O", "O", "O", "O", "O"],
  "fractional_positions": [[0.2425, 0.1582, 0.0000], [0.2575, 0.8418, 0.5000], [0.7425, 0.8418, 0.5000], [0.7575, 0.1582, 0.0000], [0.0000, 0.6588, 0.9827], [0.5000, 0.3412, 0.4827], [0.0000, 0.3718, 0.4779], [0.5000, 0.6282, 0.9779], [0.0000, 0.4152, 0.1745], [0.0000, 0.5902, 0.6334], [0.2140, 0.2508, 0.5406], [0.2860, 0.7492, 0.0406], [0.5000, 0.4098, 0.1334], [0.5000, 0.5848, 0.6745], [0.7140, 0.7492, 0.0406], [0.7860, 0.2508, 0.5406]],
  "total_magnetization_mub_per_fu": 0.763,
  "energy_ev_per_atom": -6.80,
  "dos_at_fermi_per_ev_fu": 2.16,
  "space_group": "Pmn2_1 (31)",
  "mass_density_g_cm3": 3.6
}